LiMnRu meta-GGA SCAN single point on PBEsol structure; space-group type = F-43m, No. 216; energy relative to the lowest polymorph listed for this composition = 1.34 eV per formula unit; raw total energy = -17.79 eV/atom; DOS(E_F) = 2.77 states/eV per cell; ΔE_f = 0.70 eV per atom
1.0
-2.863 1.417 2.150
-3.655 -0.438 -1.130
-2.334 -2.390 1.915
Li Ru Mn
1 1 1
Cartesian
0.000 0.000 0.000 Li
-2.213 -0.353 0.734 Ru
-4.426 -0.705 1.467 Mn